A plane-wave DFT calculation with PBE was carried out for La2PuPb after structural relaxation.

```
La2PuPb
1.0
4.223 0.000 0.000
0.000 4.223 0.000
0.000 0.000 7.126
Pb Pu La
1 1 2
direct
0.500 0.500 0.500 Pb
0.500 0.500 0.000 Pu
0.000 0.000 0.265 La
0.000 0.000 0.735 La
```

Output
M_tot in μB per formula unit: 6.8
Theoretical density in g/cm3: 9.53
Formation energy in eV/atom: -0.160
E_tot in eV per atom: -7.134
Offset from the most stable computed form in eV/f.u.: 0.35